Record 1
ZrNp2UN4 | PBE-GGA | relaxed

Properties
Crystal system = monoclinic
E_form (uncorrected) = -1.346 eV/atom
Total moment = 0.90 μB per atom
Density = 12.888 Mg/m³

Cell: 5.8806 3.3834 5.8896 Å, 90.00 109.13 90.00°
Last column: nearest neighbours and their distance in Å.
Space group P2/m (No. 10)
Inequivalent atoms, fractional coordinates:
Zr 0.0000 0.0000 0.0000 [1 per cell]  6 N 2.32-2.35
Np 0.0000 0.5000 0.5000 [1 per cell]  6 N 2.42
Np 0.5000 0.0000 0.5000 [1 per cell]  6 N 2.46-2.47
U 0.5000 0.5000 0.0000 [1 per cell]  6 N 2.37-2.38
N 0.2417 0.5000 0.2366 [2 per cell]  2 Zr 2.35, 1 U 2.37, 3 Np 2.42-2.46
N 0.2464 0.0000 0.7621 [2 per cell]  1 Zr 2.32, 2 U 2.38, 3 Np 2.42-2.47

=====

Record 2
CaSc2Se | PBE-GGA | relaxed

Properties
Crystal system = orthorhombic
E_form (uncorrected) = -0.542 eV/atom
Total moment = 0.00 μB per atom
Density = 3.296 Mg/m³

Cell: 4.0000 5.7145 9.2110 Å, 90.00 90.00 90.00°
Last column: nearest neighbours and their distance in Å.
Space group Cmmm (No. 65)
Inequivalent atoms, fractional coordinates:
Ca 0.0000 0.0000 0.0000 [2 per cell]  4 Sc 3.48, 4 Ca 3.49
Sc 0.0000 0.5000 0.3097 [4 per cell]  2 Se 2.66
Se 0.0000 0.0000 0.5000 [2 per cell]  4 Sc 2.66

=====

Record 3
SbTe8Cl6O6F31 | PBE-GGA | relaxed

Properties
Crystal system = triclinic
E_form (uncorrected) = -1.672 eV/atom
Total moment = 0.00 μB per atom
Density = 3.343 Mg/m³

Cell: 9.3120 10.5251 10.7869 Å, 82.94 85.95 75.17°
Last column: nearest neighbours and their distance in Å.
Space group P-1 (No. 2)
Inequivalent atoms, fractional coordinates:
Sb 0.0000 0.0000 0.0000 [1 per cell]  6 O 2.00
Te 0.1713 0.9724 0.2982 [2 per cell]  5 F 1.87-1.89, 1 O 1.89
Te 0.2304 0.2068 0.8440 [2 per cell]  5 F 1.87-1.88, 1 O 1.90
Te 0.2862 0.7294 0.8862 [2 per cell]  5 F 1.87-1.90, 1 O 1.88
Te 0.3376 0.4830 0.3626 [2 per cell]  1 F 2.24, 3 Cl 2.31-2.35
Cl 0.1594 0.5773 0.5071 [2 per cell]  1 Te 2.31
Cl 0.1668 0.4499 0.2273 [2 per cell]  1 Te 2.35
Cl 0.3940 0.2654 0.4488 [2 per cell]  1 Te 2.31
O 0.0545 0.1520 0.8952 [2 per cell]  1 Te 1.90, 1 Sb 2.00
O 0.0819 0.0528 0.1466 [2 per cell]  1 Te 1.89, 1 Sb 2.00
O 0.2014 0.8810 0.9675 [2 per cell]  1 Te 1.88, 1 Sb 2.00
F 0.0027 0.0699 0.6309 [2 per cell]  1 Te 1.88
F 0.1142 0.1373 0.3601 [2 per cell]  1 Te 1.87
F 0.1195 0.6589 0.9066 [2 per cell]  1 Te 1.87
F 0.1284 0.3117 0.7085 [2 per cell]  1 Te 1.88
F 0.1715 0.3503 0.9392 [2 per cell]  1 Te 1.88
F 0.2257 0.8094 0.7269 [2 per cell]  1 Te 1.87
F 0.2360 0.8001 0.2477 [2 per cell]  1 Te 1.89
F 0.2610 0.9016 0.4503 [2 per cell]  1 Te 1.88
F 0.3019 0.0699 0.7421 [2 per cell]  1 Te 1.88
F 0.3445 0.1068 0.9748 [2 per cell]  1 Te 1.87
F 0.3535 0.0060 0.2401 [2 per cell]  1 Te 1.87
F 0.3586 0.6317 0.0363 [2 per cell]  1 Te 1.88
F 0.3859 0.5785 0.8056 [2 per cell]  1 Te 1.90
F 0.3958 0.2720 0.7860 [2 per cell]  1 Te 1.88
F 0.4642 0.7824 0.8592 [2 per cell]  1 Te 1.87
F 0.5000 0.5000 0.5000 [1 per cell]  2 Te 2.24